# 1
Compound: ScCd2Si
Source: Alexandria via LeMat-Bulk
Functional: SCAN
Structure: PBEsol geometry

Geometry as CIF:
```
data_ScCd2Si
_chemical_formula_sum 'Sc1 Cd2 Si1'
_cell_length_a 5.971
_cell_length_b 5.971
_cell_length_c 5.971
_cell_angle_alpha 148.30
_cell_angle_beta 135.68
_cell_angle_gamma 55.51
_symmetry_space_group_name_H-M 'P 1'
_symmetry_Int_Tables_number 1
loop_
_symmetry_equiv_pos_as_xyz
'x,y,z'
loop_
_atom_site_label
_atom_site_type_symbol
_atom_site_fract_x
_atom_site_fract_y
_atom_site_fract_z
Sc1 Sc 0.000 0.000 0.000
Cd1 Cd 0.278 0.778 0.500
Cd2 Cd 0.722 0.222 0.500
Si1 Si 0.500 0.500 0.000
```

=====

# 2
# Al2ZnOs (SCAN, PBEsol geometry)
# Energy relative to the elements = -0.3708 eV per atom
data_Al2ZnOs
_chemical_formula_sum 'Al2 Zn1 Os1'
_cell_length_a 4.233
_cell_length_b 4.233
_cell_length_c 3.088
_cell_angle_alpha 90.00
_cell_angle_beta 90.00
_cell_angle_gamma 96.37
_symmetry_space_group_name_H-M 'P 1'
_symmetry_Int_Tables_number 1
loop_
_symmetry_equiv_pos_as_xyz
'x,y,z'
loop_
_atom_site_label
_atom_site_type_symbol
_atom_site_fract_x
_atom_site_fract_y
_atom_site_fract_z
Al1 Al 0.000 0.500 0.000
Al2 Al 0.500 0.000 0.000
Zn1 Zn 0.000 0.000 0.500
Os1 Os 0.500 0.500 0.500

=====

# 3
Compound: NaMo2PSe
Source: Alexandria via LeMat-Bulk
Functional: SCAN
Structure: PBEsol geometry

Geometry as CIF:
```
data_NaMo2PSe
_chemical_formula_sum 'Na1 Mo2 P1 Se1'
_cell_length_a 4.629
_cell_length_b 4.629
_cell_length_c 4.811
_cell_angle_alpha 90.00
_cell_angle_beta 90.00
_cell_angle_gamma 90.00
_symmetry_space_group_name_H-M 'P 1'
_symmetry_Int_Tables_number 1
loop_
_symmetry_equiv_pos_as_xyz
'x,y,z'
loop_
_atom_site_label
_atom_site_type_symbol
_atom_site_fract_x
_atom_site_fract_y
_atom_site_fract_z
Na1 Na 0.000 0.000 0.000
Mo1 Mo 0.000 0.500 0.500
Mo2 Mo 0.500 0.000 0.500
P1 P 0.500 0.500 0.000
Se1 Se 0.000 0.000 0.500
```

=====

# 4
# Mg2PBr (SCAN, PBEsol geometry)
# Relative energy among the computed polymorphs = 709 meV/atom
data_Mg2PBr
_chemical_formula_sum 'Mg2 P1 Br1'
_cell_length_a 6.560
_cell_length_b 6.560
_cell_length_c 6.560
_cell_angle_alpha 146.55
_cell_angle_beta 146.55
_cell_angle_gamma 48.03
_symmetry_space_group_name_H-M 'P 1'
_symmetry_Int_Tables_number 1
loop_
_symmetry_equiv_pos_as_xyz
'x,y,z'
loop_
_atom_site_label
_atom_site_type_symbol
_atom_site_fract_x
_atom_site_fract_y
_atom_site_fract_z
Mg1 Mg 0.000 0.000 0.000
Mg2 Mg 0.750 0.250 0.500
P1 P 0.500 0.500 0.000
Br1 Br 0.250 0.750 0.500

=====

Number 1: DOS(E_F) 2.09 states/eV/cell, E -85.80 eV per cell. Number 2: DOS(E_F) 1.12 states/eV/cell, E -102.38 eV per cell. Number 3: DOS(E_F) 3.29 states/eV/cell, E -98.98 eV per cell. Number 4: DOS(E_F) 1.38 states/eV/cell, E -41.19 eV per cell.